Below is Ni2OsSe after structural relaxation, with properties calculated at the PBE level.

Lattice parameters (Å, degrees): 2.9899 4.1900 4.2506 90.00 90.00 90.00
With the nearest neighbours (Å) after each atom.
Space group Pmmm (No. 47)
Inequivalent atoms, fractional coordinates:
Ni: 0.0000 0.0000 0.0000 x1  4 Se 2.57, 4 Ni 2.60
Ni: 0.5000 0.0000 0.5000 x1  4 Os 2.57, 4 Ni 2.60
Os: 0.0000 0.5000 0.5000 x1  4 Ni 2.57, 4 Se 2.60
Se: 0.5000 0.5000 0.0000 x1  4 Ni 2.57, 4 Os 2.60

For the magnetization, the calculation gives 0.72 μB/f.u. For the formation energy (no corrections), the calculation gives 0.49 eV/atom. As for the raw total energy: -6.079 eV/atom.